Computed, not measured: crystalline Ca2FeRe at its relaxed geometry at the GGA-PBE level of DFT.

Summary:
E_form ... 0.9077 eV/atom
Space-group type ... No. 123
M_tot ... 3.1 μB/cell

Geometry as POSCAR:
```
Ca2FeRe
1.0
4.122 0.000 0.000
0.000 4.128 0.000
0.000 0.000 4.676
Re Fe Ca
1 1 2
direct
0.000 0.500 0.500
0.500 0.000 0.500
0.000 0.000 0.000
0.500 0.500 0.000
```